Cd3Ni3IrO8: optimized geometry, PBE with a Hubbard U.

Structure (POSCAR):
```
Cd3Ni3IrO8
1.0
-4.846 -2.029 3.342
5.679 -2.349 1.009
-1.237 6.089 1.903
Cd Ni Ir O
3 3 1 8
Direct
0.000 0.000 0.000
0.000 0.500 0.000
0.500 0.500 0.000
0.500 0.000 0.500
0.500 0.500 0.500
0.000 0.500 0.500
0.000 0.000 0.500
0.262 0.524 0.287
0.738 0.476 0.713
0.773 0.547 0.296
0.227 0.453 0.704
0.774 0.022 0.296
0.226 0.978 0.704
0.249 0.022 0.296
0.751 0.978 0.704
```

Summary:
E_tot ... -72.7 eV per cell